No. 1
Compound: Ba3TlTc2O9
Source: Alexandria
Functional: PBE
Structure: optimized geometry

Cell: 5.8857 5.8857 7.2221 Å, 90.00 90.00 120.00°
Space group P-3m1 (No. 164)
One atom of each set of equivalent atoms:
Ba 0.0000 0.0000 0.0000 [1 per cell]
Ba 0.3333 0.6667 0.6555 [2 per cell]
Tl 0.0000 0.0000 0.5000 [1 per cell]
Tc 0.3333 0.6667 0.1469 [2 per cell]
O 0.0000 0.5000 0.0000 [3 per cell]
O 0.1773 0.3546 0.3144 [6 per cell]

---

No. 2
Compound: Ba2TlTcO6
Source: Alexandria
Functional: PBE
Structure: optimized geometry

Cell: 6.0947 6.0947 29.9908 Å, 90.00 90.00 120.00°
Space group R-3m (No. 166, hexagonal axes)
One atom of each set of equivalent atoms:
Ba 0.0000 0.0000 0.1312 [6 per cell]
Ba 0.0000 0.0000 0.2759 [6 per cell]
Tl 0.0000 0.0000 0.4036 [6 per cell]
Tc 0.0000 0.0000 0.0000 [3 per cell]
Tc 0.0000 0.0000 0.5000 [3 per cell]
O 0.0232 0.5116 0.1274 [18 per cell]
O 0.0396 0.5198 0.7061 [18 per cell]

---

No. 3
Compound: BaTl2TcO6
Source: Alexandria
Functional: PBE
Structure: optimized geometry

Cell: 6.2688 6.2688 6.6776 Å, 90.00 90.00 120.00°
Space group P-3m1 (No. 164)
One atom of each set of equivalent atoms:
Ba 0.0000 0.0000 0.0000 [1 per cell]
Tl 0.3333 0.6667 0.5002 [2 per cell]
Tc 0.0000 0.0000 0.5000 [1 per cell]
O 0.1424 0.2848 0.3302 [6 per cell]

---

No. 4
Compound: BaTlTc2O8
Source: Alexandria
Functional: PBE
Structure: optimized geometry

Cell: 11.4701 6.4747 6.6679 Å, 90.00 109.73 90.00°
Space group C2/m (No. 12)
One atom of each set of equivalent atoms:
Ba 0.0000 0.0000 0.0000 [2 per cell]
Tl 0.0000 0.5000 0.5000 [2 per cell]
Tc 0.2059 0.0000 0.6956 [4 per cell]
O 0.1314 0.5000 0.2077 [4 per cell]
O 0.1425 0.2137 0.7890 [8 per cell]
O 0.1510 0.0000 0.4133 [4 per cell]

---

No. 5
Compound: Ba2TmTcO6
Source: Alexandria
Functional: PBE
Structure: optimized geometry

Cell: 8.3994 8.3994 8.3994 Å, 90.00 90.00 90.00°
Space group Fm-3m (No. 225)
One atom of each set of equivalent atoms:
Ba 0.2500 0.2500 0.2500 [8 per cell]
Tm 0.0000 0.0000 0.0000 [4 per cell]
Tc 0.0000 0.0000 0.5000 [4 per cell]
O 0.0000 0.0000 0.2630 [24 per cell]

---

No. 6
Compound: BaTmTcO6
Source: Alexandria
Functional: PBE
Structure: optimized geometry

Cell: 5.5541 5.5541 5.6395 Å, 90.00 90.00 120.00°
Space group P312 (No. 149)
One atom of each set of equivalent atoms:
Ba 0.0000 0.0000 0.0000 [1 per cell]
Tm 0.3333 0.6667 0.5000 [1 per cell]
Tc 0.6667 0.3333 0.5000 [1 per cell]
O 0.4022 0.0396 0.6957 [6 per cell]

---

No. 7
Compound: BaTmTc2O8
Source: Alexandria
Functional: PBE
Structure: optimized geometry

Cell: 5.8981 5.8981 7.5434 Å, 90.00 90.00 120.00°
Space group P-3m1 (No. 164)
One atom of each set of equivalent atoms:
Ba 0.0000 0.0000 0.0000 [1 per cell]
Tm 0.0000 0.0000 0.5000 [1 per cell]
Tc 0.3333 0.6667 0.7662 [2 per cell]
O 0.1634 0.3267 0.6919 [6 per cell]
O 0.3333 0.6667 0.0020 [2 per cell]

---

No. 8
Compound: Ba2TmTc3O12
Source: Alexandria
Functional: PBE
Structure: optimized geometry

Cell: 7.3586 7.3586 17.3308 Å, 90.00 90.00 120.00°
Space group R-3m (No. 166, hexagonal axes)
One atom of each set of equivalent atoms:
Ba 0.0000 0.0000 0.1311 [6 per cell]
Tm 0.0000 0.0000 0.5000 [3 per cell]
Tc 0.0000 0.5000 0.0000 [9 per cell]
O 0.0101 0.5051 0.1111 [18 per cell]
O 0.0812 0.5406 0.3356 [18 per cell]

---

No. 9
Compound: Ba3TmTc2O9
Source: Alexandria
Functional: PBE
Structure: optimized geometry

Cell: 5.8532 5.8532 7.1673 Å, 90.00 90.00 120.00°
Space group P-3m1 (No. 164)
One atom of each set of equivalent atoms:
Ba 0.0000 0.0000 0.0000 [1 per cell]
Ba 0.3333 0.6667 0.6622 [2 per cell]
Tm 0.0000 0.0000 0.5000 [1 per cell]
Tc 0.3333 0.6667 0.1527 [2 per cell]
O 0.0000 0.5000 0.0000 [3 per cell]
O 0.1754 0.3509 0.3191 [6 per cell]

---

No. 10
Compound: BaUTc2O8
Source: Alexandria
Functional: PBE
Structure: optimized geometry

Cell: 5.9123 5.9123 7.5494 Å, 90.00 90.00 120.00°
Space group P-3m1 (No. 164)
One atom of each set of equivalent atoms:
Ba 0.0000 0.0000 0.0000 [1 per cell]
U 0.0000 0.0000 0.5000 [1 per cell]
Tc 0.3333 0.6667 0.7768 [2 per cell]
O 0.1622 0.3245 0.6871 [6 per cell]
O 0.3333 0.6667 0.0116 [2 per cell]

---

No. 11
Compound: BaUTcO6
Source: Alexandria
Functional: PBE
Structure: optimized geometry

Cell: 7.2456 7.8795 10.7241 Å, 90.00 90.00 90.00°
Space group Imma (No. 74)
One atom of each set of equivalent atoms:
Ba 0.0000 0.2500 0.0393 [4 per cell]
U 0.0000 0.0000 0.5000 [4 per cell]
Tc 0.2500 0.2500 0.7500 [4 per cell]
O 0.0000 0.2500 0.4218 [4 per cell]
O 0.0000 0.2500 0.7767 [4 per cell]
O 0.2260 0.0714 0.6131 [16 per cell]

---

No. 12
Compound: Ba2UTcO6
Source: Alexandria
Functional: PBE
Structure: optimized geometry

Cell: 8.4817 8.4817 8.4817 Å, 90.00 90.00 90.00°
Space group Fm-3m (No. 225)
One atom of each set of equivalent atoms:
Ba 0.2500 0.2500 0.2500 [8 per cell]
U 0.0000 0.0000 0.0000 [4 per cell]
Tc 0.0000 0.0000 0.5000 [4 per cell]
O 0.0000 0.0000 0.2553 [24 per cell]

---

no.,uncorrected energy (eV/atom)
1,-6.7603
2,-6.3649
3,-5.9560
4,-7.0304
5,-7.4579
6,-7.4777
7,-7.6554
8,-7.4636
9,-7.4654
10,-8.1408
11,-8.3695
12,-8.1461